# 1
First-principles (PBE-GGA) data for a relaxed Th2Si2Tc2C crystal, as listed in the Alexandria database.

The crystal system is monoclinic. Its total energy is -8.614 eV per atom. The calculation puts the energy relative to the elements, uncorrected at -0.665 eV per atom.

It has space group C2/m (No. 12), with a = 11.1318 Å, b = 4.2331 Å, c = 7.0243 Å, α = 90.00°, β = 128.35° and γ = 90.00°. The distinct sites, in fractional coordinates, are Th at (0.0610, 0.0000, 0.3263), Si at (0.1593, 0.5000, 0.1076), Tc at (0.2068, 0.5000, 0.8079) and C at (0.0000, 0.5000, 0.5000).

# 2
First-principles (PBE-GGA) data for a relaxed CdBiPt crystal, as listed in the Alexandria database.

The energy above the most stable polymorph in this dataset comes out at 0 meV per atom. The crystal system is cubic. Its total energy is -3.895 eV per atom.

It has space group F-43m (No. 216), with a = 6.6231 Å, b = 6.6231 Å, c = 6.6231 Å, α = 90.00°, β = 90.00° and γ = 90.00°. The distinct sites, in fractional coordinates, are Cd at (0.0000, 0.0000, 0.0000), Bi at (0.0000, 0.0000, 0.5000) and Pt at (0.2500, 0.2500, 0.7500).

# 3
First-principles (PBE-GGA) data for a relaxed Na2Cd3Ga crystal, as listed in the Alexandria database.

The energy above the most stable polymorph in this dataset comes out at 0 meV per atom. The crystal system is hexagonal. Its total energy is -1.506 eV per atom.

It has space group P6_3/mmc (No. 194), with a = 5.9769 Å, b = 5.9769 Å, c = 9.2913 Å, α = 90.00°, β = 90.00° and γ = 120.00°. The distinct sites, in fractional coordinates, are Na at (0.3333, 0.6667, 0.0604), Cd at (0.1698, 0.3397, 0.7500) and Ga at (0.0000, 0.0000, 0.0000).

# 4
First-principles (PBE-GGA) data for a relaxed NdCdH8Rh2 crystal, as listed in the Alexandria database.

The crystal system is trigonal. Its total energy is -4.068 eV per atom.

It has space group R-3 (No. 148, hexagonal axes), with a = 4.9118 Å, b = 4.9118 Å, c = 16.7180 Å, α = 90.00°, β = 90.00° and γ = 120.00°. The distinct sites, in fractional coordinates, are Nd at (0.0000, 0.0000, 0.0000), Cd at (0.0000, 0.0000, 0.5000), H at (0.0000, 0.0000, 0.3057), H at (0.0425, 0.2820, 0.8839) and Rh at (0.0000, 0.0000, 0.2033).

# 5
First-principles (PBE-GGA) data for a relaxed Al3As crystal, as listed in the Alexandria database.

The energy above the most stable polymorph in this dataset comes out at 158 meV per atom. The crystal system is trigonal. Its total energy is -3.816 eV per atom.

It has space group R-3m (No. 166, hexagonal axes), with a = 8.3204 Å, b = 8.3204 Å, c = 3.8690 Å, α = 90.00°, β = 90.00° and γ = 120.00°. The distinct sites, in fractional coordinates, are Al at (0.0000, 0.5000, 0.0000) and As at (0.0000, 0.0000, 0.0000).

# 6
First-principles (PBE-GGA) data for a relaxed Ce2DySc3Se6 crystal, as listed in the Alexandria database.

The crystal system is monoclinic. Its total energy is -6.387 eV per atom. The calculation puts the energy relative to the elements, uncorrected at -1.689 eV per atom.

It has space group C2/m (No. 12), with a = 6.9146 Å, b = 11.9929 Å, c = 7.0240 Å, α = 90.00°, β = 109.19° and γ = 90.00°. The distinct sites, in fractional coordinates, are Ce at (0.0000, 0.1665, 0.0000), Dy at (0.0000, 0.5000, 0.0000), Sc at (0.0000, 0.0000, 0.5000), Sc at (0.0000, 0.3340, 0.5000), Se at (0.2373, 0.5000, 0.7281) and Se at (0.2451, 0.1640, 0.7271).

# 7
First-principles (PBE-GGA) data for a relaxed Ca2Al4ZnAu3 crystal, as listed in the Alexandria database.

The crystal system is tetragonal. Its total energy is -3.572 eV per atom.

It has space group P-4m2 (No. 115), with a = 4.3255 Å, b = 4.3255 Å, c = 10.8498 Å, α = 90.00°, β = 90.00° and γ = 90.00°. The distinct sites, in fractional coordinates, are Ca at (0.0000, 0.5000, 0.2472), Al at (0.0000, 0.0000, 0.5000), Al at (0.0000, 0.5000, 0.8673), Al at (0.5000, 0.5000, 0.5000), Zn at (0.5000, 0.5000, 0.0000), Au at (0.0000, 0.0000, 0.0000) and Au at (0.0000, 0.5000, 0.6343).

# 8
First-principles (PBE-GGA) data for a relaxed Pr4ZnSCl2 crystal, as listed in the Alexandria database.

The crystal system is monoclinic. Its total energy is -4.816 eV per atom. The calculation puts the energy relative to the elements, uncorrected at -1.290 eV per atom.

It has space group P2/m (No. 10), with a = 7.1572 Å, b = 4.1085 Å, c = 7.5872 Å, α = 90.00°, β = 108.93° and γ = 90.00°. The distinct sites, in fractional coordinates, are Pr at (0.2318, 0.0000, 0.2227), Pr at (0.2440, 0.5000, 0.7668), Zn at (0.5000, 0.0000, 0.0000), S at (0.0000, 0.5000, 0.0000), Cl at (0.0000, 0.0000, 0.5000) and Cl at (0.5000, 0.5000, 0.5000).

# 9
First-principles (PBE-GGA) data for a relaxed HoMgIr2 crystal, as listed in the Alexandria database.

The crystal system is tetragonal. Its total energy is -6.562 eV per atom.

It has space group P4/mmm (No. 123), with a = 3.3074 Å, b = 3.3074 Å, c = 6.4070 Å, α = 90.00°, β = 90.00° and γ = 90.00°. The distinct sites, in fractional coordinates, are Ho at (0.0000, 0.0000, 0.0000), Mg at (0.0000, 0.0000, 0.5000) and Ir at (0.5000, 0.5000, 0.2693).

# 10
First-principles (PBE-GGA) data for a relaxed MgSnI6 crystal, as listed in the Alexandria database.

The crystal system is monoclinic. Its total energy is -2.341 eV per atom. The calculation puts the energy relative to the elements, uncorrected at -0.479 eV per atom.

It has space group C2/m (No. 12), with a = 7.3922 Å, b = 13.7494 Å, c = 7.3757 Å, α = 90.00°, β = 111.62° and γ = 90.00°. The distinct sites, in fractional coordinates, are Mg at (0.0000, 0.0000, 0.0000), Sn at (0.0000, 0.5000, 0.5000), I at (0.2357, 0.5000, 0.2654) and I at (0.2434, 0.1480, 0.2419).

Number 1: total magnetization 0.0 μB/cell. Number 2: total magnetization 0.0 μB/cell. Number 3: total magnetization 0.0 μB/cell. Number 4: total magnetization 0.0 μB/cell. Number 5: total magnetization 0.0 μB/cell. Number 6: total magnetization 3.8 μB/cell. Number 7: total magnetization 0.0 μB/cell. Number 8: total magnetization 0.0 μB/cell. Number 9: total magnetization 0.0 μB/cell. Number 10: total magnetization 0.0 μB/cell.